# 1
A plane-wave DFT calculation with GGA-PBE was carried out for a relaxed structure of ZrPbSe2.

Summary:
DFT total energy: -43.22 eV for the cell shown
Volume: 110 Å³/f.u.
Crystal system: orthorhombic
Raw formation energy: -0.60 eV/atom

Unit cell a=3.632 b=6.044 c=10.057 alpha=90.00 beta=90.00 gamma=90.00
Space group Immm (No. 71)
One atom of each set of equivalent atoms:
Zr (0.000, 0.000, 0.000) x2
Pb (0.000, 0.000, 0.500) x2
Se (0.000, 0.500, 0.310) x4

***

# 2
A plane-wave DFT calculation with GGA-PBE was carried out for a relaxed structure of ZrPbSe2.

Summary:
DFT total energy: -21.91 eV for the cell shown
Volume: 113 Å³/f.u.
Crystal system: tetragonal
Raw formation energy: -0.67 eV/atom

Unit cell a=3.717 b=3.717 c=8.157 alpha=90.00 beta=90.00 gamma=90.00
Space group P4mm (No. 99)
One atom of each set of equivalent atoms:
Zr (0.000, 0.000, 0.000) x1
Pb (0.500, 0.500, 0.482) x1
Se (0.000, 0.000, 0.693) x1
Se (0.500, 0.500, 0.084) x1

***

# 3
A plane-wave DFT calculation with GGA-PBE was carried out for a relaxed structure of ZrPbSe2.

Summary:
DFT total energy: -68.74 eV for the cell shown
Volume: 103 Å³/f.u.
Crystal system: trigonal
Raw formation energy: -0.92 eV/atom

Unit cell a=3.6992 b=3.6992 c=26.1404 alpha=90.00 beta=90.00 gamma=120.00
Space group R3m (No. 160, hexagonal axes)
One atom of each set of equivalent atoms:
Zr (0.0000, 0.0000, 0.0000) x3
Pb (0.0000, 0.0000, 0.8360) x3
Se (0.0000, 0.0000, 0.3980) x3
Se (0.0000, 0.0000, 0.6023) x3

***

# 4
A plane-wave DFT calculation with GGA-PBE was carried out for a relaxed structure of ZrPbSe2.

Summary:
DFT total energy: -84.45 eV for the cell shown
Volume: 134 Å³/f.u.
Crystal system: tetragonal
Raw formation energy: -0.47 eV/atom

Unit cell a=6.910 b=6.910 c=11.240 alpha=90.00 beta=90.00 gamma=90.00
Space group I-42d (No. 122)
One atom of each set of equivalent atoms:
Zr (0.000, 0.000, 0.000) x4
Pb (0.000, 0.000, 0.500) x4
Se (0.195, 0.250, 0.125) x8

***

# 5
A plane-wave DFT calculation with GGA-PBE was carried out for a relaxed structure of ZrPbSe2.

Summary:
DFT total energy: -85.65 eV for the cell shown
Volume: 100 Å³/f.u.
Crystal system: tetragonal
Raw formation energy: -0.55 eV/atom

Unit cell a=5.831 b=5.831 c=11.823 alpha=90.00 beta=90.00 gamma=90.00
Space group I4_1/amd (No. 141, origin choice 2)
One atom of each set of equivalent atoms:
Zr (0.000, 0.250, 0.375) x4
Pb (0.000, 0.250, 0.875) x4
Se (0.000, 0.250, 0.137) x8

***

# 6
A plane-wave DFT calculation with GGA-PBE was carried out for a relaxed structure of ZrPbSe2.

Summary:
DFT total energy: -88.24 eV for the cell shown
Volume: 118 Å³/f.u.
Crystal system: orthorhombic
Raw formation energy: -0.71 eV/atom

Unit cell a=6.788 b=9.150 c=7.608 alpha=90.00 beta=90.00 gamma=90.00
Space group Ima2 (No. 46)
One atom of each set of equivalent atoms:
Zr (0.000, 0.000, 0.000) x4
Pb (0.250, 0.007, 0.401) x4
Se (0.250, 0.152, 0.813) x4
Se (0.250, 0.707, 0.599) x4

***

# 7
A plane-wave DFT calculation with GGA-PBE was carried out for a relaxed structure of ZrPbSe2.

Summary:
DFT total energy: -41.22 eV for the cell shown
Volume: 97 Å³/f.u.
Crystal system: tetragonal
Raw formation energy: -0.35 eV/atom

Unit cell a=4.052 b=4.052 c=11.807 alpha=90.00 beta=90.00 gamma=90.00
Space group I-4m2 (No. 119)
One atom of each set of equivalent atoms:
Zr (0.000, 0.000, 0.000) x2
Pb (0.000, 0.500, 0.750) x2
Se (0.000, 0.000, 0.500) x2
Se (0.000, 0.500, 0.250) x2

***

# 8
A plane-wave DFT calculation with GGA-PBE was carried out for a relaxed structure of ZrPbSe2.

Summary:
DFT total energy: -44.77 eV for the cell shown
Volume: 101 Å³/f.u.
Crystal system: orthorhombic
Raw formation energy: -0.79 eV/atom

Unit cell a=3.518 b=3.839 c=14.933 alpha=90.00 beta=90.00 gamma=90.00
Space group Imm2 (No. 44)
One atom of each set of equivalent atoms:
Zr (0.000, 0.000, 0.000) x2
Pb (0.000, 0.500, 0.263) x2
Se (0.000, 0.000, 0.429) x2
Se (0.000, 0.500, 0.635) x2

***

# 9
A plane-wave DFT calculation with GGA-PBE was carried out for a relaxed structure of ZrPbSe2.

Summary:
DFT total energy: -89.63 eV for the cell shown
Volume: 111 Å³/f.u.
Crystal system: orthorhombic
Raw formation energy: -0.80 eV/atom

Unit cell a=7.990 b=4.089 c=13.617 alpha=90.00 beta=90.00 gamma=90.00
Space group Pnma (No. 62)
One atom of each set of equivalent atoms:
Zr (0.062, 0.250, 0.124) x4
Pb (0.219, 0.750, 0.327) x4
Se (0.127, 0.750, 0.710) x4
Se (0.192, 0.750, 0.013) x4

***

# 10
A plane-wave DFT calculation with GGA-PBE was carried out for a relaxed structure of Zr3Pb2Se8.

Summary:
DFT total energy: -149.11 eV for the cell shown
Volume: 381 Å³/f.u.
Crystal system: monoclinic
Raw formation energy: -1.05 eV/atom

Unit cell a=14.851 b=7.823 c=6.864 alpha=90.00 beta=107.20 gamma=90.00
Space group C2/m (No. 12)
One atom of each set of equivalent atoms:
Zr (0.000, 0.000, 0.000) x2
Zr (0.000, 0.262, 0.500) x4
Pb (0.246, 0.500, 0.167) x4
Se (0.106, 0.000, 0.396) x4
Se (0.108, 0.242, 0.898) x8
Se (0.115, 0.500, 0.445) x4

***

# 11
A plane-wave DFT calculation with GGA-PBE was carried out for a relaxed structure of ZrPbSe2.

Summary:
DFT total energy: -90.00 eV for the cell shown
Volume: 111 Å³/f.u.
Crystal system: orthorhombic
Raw formation energy: -0.82 eV/atom

Unit cell a=7.141 b=3.500 c=17.706 alpha=90.00 beta=90.00 gamma=90.00
Space group Pnma (No. 62)
One atom of each set of equivalent atoms:
Zr (0.132, 0.250, 0.190) x4
Pb (0.034, 0.750, 0.412) x4
Se (0.138, 0.750, 0.075) x4
Se (0.158, 0.250, 0.776) x4

***

# 12
A plane-wave DFT calculation with GGA-PBE was carried out for a relaxed structure of ZrPbSe2.

Summary:
DFT total energy: -22.49 eV for the cell shown
Volume: 91 Å³/f.u.
Crystal system: tetragonal
Raw formation energy: -0.82 eV/atom

Unit cell a=3.460 b=3.460 c=7.597 alpha=90.00 beta=90.00 gamma=90.00
Space group P4/mmm (No. 123)
One atom of each set of equivalent atoms:
Zr (0.000, 0.000, 0.000) x1
Pb (0.000, 0.000, 0.500) x1
Se (0.500, 0.500, 0.201) x2

***

Repeat the tenth record exactly.
A plane-wave DFT calculation with GGA-PBE was carried out for a relaxed structure of Zr3Pb2Se8.

Summary:
DFT total energy: -149.11 eV for the cell shown
Volume: 381 Å³/f.u.
Crystal system: monoclinic
Raw formation energy: -1.05 eV/atom

Unit cell a=14.851 b=7.823 c=6.864 alpha=90.00 beta=107.20 gamma=90.00
Space group C2/m (No. 12)
One atom of each set of equivalent atoms:
Zr (0.000, 0.000, 0.000) x2
Zr (0.000, 0.262, 0.500) x4
Pb (0.246, 0.500, 0.167) x4
Se (0.106, 0.000, 0.396) x4
Se (0.108, 0.242, 0.898) x8
Se (0.115, 0.500, 0.445) x4